{
  "formula": "TbMgB",
  "functional": "GGA-PBE",
  "state": "optimized geometry",
  "spacegroup": "No. 216",
  "de_polymorph_ev_per_fu": 2.539,
  "dft_energy_ha_per_atom": -0.1281,
  "m_tot_mub_per_fu": 0.001,
  "cell": [[0.000, 3.069, 3.069], [3.069, 0.000, 3.069], [3.069, 3.069, 0.000]],
  "species": ["Tb", "Mg", "B"],
  "fractional_positions": [[0.000, 0.000, 0.000], [0.750, 0.750, 0.750], [0.500, 0.500, 0.500]]
}